Material: Mg2Al2Ge
Method: DFT, PBE-GGA
State: optimized geometry

The energy of formation comes out at 0.124 eV/atom. The calculation puts the raw total energy at -2.934 eV/atom. The energy above the most stable polymorph in this dataset comes out at 0.0 meV/atom.

The space group is P4/mbm (No. 127) and the conventional cell measures 8.083, 8.083 and 3.068 Å, with angles of 90.00, 90.00 and 90.00 degrees. The inequivalent atoms are Mg at (0.183, 0.317, 0.000), Al at (0.116, 0.616, 0.500) and Ge at (0.000, 0.000, 0.500).

=====

Material: Zn2InNi
Method: DFT, PBE-GGA
State: optimized geometry

The energy of formation comes out at 0.092 eV/atom. The calculation puts the raw total energy at -2.675 eV/atom.

The space group is R-3m (No. 166, hexagonal axes) and the conventional cell measures 3.0506, 3.0506 and 25.2409 Å, with angles of 90.00, 90.00 and 120.00 degrees. The inequivalent atoms are Zn at (0.0000, 0.0000, 0.2364), In at (0.0000, 0.0000, 0.0000) and Ni at (0.0000, 0.0000, 0.5000).

=====

Material: CeHo2Ga2Rh5
Method: DFT, PBE-GGA
State: optimized geometry

The energy of formation comes out at -0.849 eV/atom. The calculation puts the raw total energy at -6.639 eV/atom.

The space group is P4/mbm (No. 127) and the conventional cell measures 9.891, 9.891 and 3.680 Å, with angles of 90.00, 90.00 and 90.00 degrees. The inequivalent atoms are Ce at (0.000, 0.000, 0.000), Ho at (0.171, 0.329, 0.000), Ga at (0.125, 0.625, 0.000), Rh at (0.000, 0.500, 0.500) and Rh at (0.070, 0.792, 0.500).

=====

Material: ZnSiP2S
Method: DFT, PBE-GGA
State: optimized geometry

The energy relative to the elements, uncorrected is 0.653 eV per atom. The calculation puts the raw total energy at -3.676 eV/atom. The energy above the most stable polymorph in this dataset comes out at 0.0 meV/atom.

The space group is P4/mmm (No. 123) and the conventional cell measures 4.574, 4.574 and 4.463 Å, with angles of 90.00, 90.00 and 90.00 degrees. The inequivalent atoms are Zn at (0.000, 0.000, 0.000), Si at (0.500, 0.500, 0.500), P at (0.000, 0.500, 0.500) and S at (0.500, 0.500, 0.000).

=====

Material: U2RhC
Method: DFT, PBE-GGA
State: optimized geometry

The energy of formation comes out at -0.001 eV/atom. The calculation puts the raw total energy at -9.789 eV/atom.

The space group is R-3m (No. 166, hexagonal axes) and the conventional cell measures 3.0848, 3.0848 and 24.5267 Å, with angles of 90.00, 90.00 and 120.00 degrees. The inequivalent atoms are U at (0.0000, 0.0000, 0.1036), Rh at (0.0000, 0.0000, 0.0000) and C at (0.0000, 0.0000, 0.5000).

=====

Material: MnZn2Cr
Method: DFT, PBE-GGA
State: optimized geometry

The energy of formation comes out at 0.259 eV/atom. The calculation puts the raw total energy at -5.076 eV/atom. The energy above the most stable polymorph in this dataset comes out at 196.2 meV/atom.

The space group is R-3m (No. 166, hexagonal axes) and the conventional cell measures 2.6317, 2.6317 and 26.4847 Å, with angles of 90.00, 90.00 and 120.00 degrees. The inequivalent atoms are Mn at (0.0000, 0.0000, 0.0000), Zn at (0.0000, 0.0000, 0.2500) and Cr at (0.0000, 0.0000, 0.5000).

=====

Material: PmErZnRh
Method: DFT, PBE-GGA
State: optimized geometry

The energy of formation comes out at -0.563 eV/atom. The calculation puts the raw total energy at -5.048 eV/atom. The energy above the most stable polymorph in this dataset comes out at 9.2 meV/atom.

The space group is F-43m (No. 216) and the conventional cell measures 7.047, 7.047 and 7.047 Å, with angles of 90.00, 90.00 and 90.00 degrees. The inequivalent atoms are Pm at (0.000, 0.000, 0.000), Er at (0.000, 0.000, 0.500), Zn at (0.250, 0.250, 0.750) and Rh at (0.250, 0.250, 0.250).

=====

Material: LaPrAuBr
Method: DFT, PBE-GGA
State: optimized geometry

The energy relative to the elements, uncorrected is -0.823 eV per atom. The calculation puts the raw total energy at -4.487 eV/atom. The energy above the most stable polymorph in this dataset comes out at 183.4 meV/atom.

The space group is F-43m (No. 216) and the conventional cell measures 7.564, 7.564 and 7.564 Å, with angles of 90.00, 90.00 and 90.00 degrees. The inequivalent atoms are La at (0.000, 0.000, 0.000), Pr at (0.000, 0.000, 0.500), Au at (0.250, 0.250, 0.750) and Br at (0.250, 0.250, 0.250).

=====

Material: LiErCu10
Method: DFT, PBE-GGA
State: optimized geometry

The energy of formation comes out at -0.086 eV/atom. The calculation puts the raw total energy at -4.039 eV/atom.

The space group is Pmmm (No. 47) and the conventional cell measures 4.087, 4.938 and 8.549 Å, with angles of 90.00, 90.00 and 90.00 degrees. The inequivalent atoms are Li at (0.000, 0.000, 0.000), Er at (0.000, 0.500, 0.500), Cu at (0.000, 0.000, 0.321), Cu at (0.000, 0.500, 0.159), Cu at (0.500, 0.000, 0.500), Cu at (0.500, 0.253, 0.251) and Cu at (0.500, 0.500, 0.000).

=====

Material: Re2SiBr
Method: DFT, PBE-GGA
State: optimized geometry

The energy relative to the elements, uncorrected is 1.085 eV per atom. The calculation puts the raw total energy at -6.913 eV/atom. The energy above the most stable polymorph in this dataset comes out at 797.9 meV/atom.

The space group is C2/m (No. 12) and the conventional cell measures 5.279, 8.854 and 3.297 Å, with angles of 90.00, 122.53 and 90.00 degrees. The inequivalent atoms are Re at (0.250, 0.250, 0.000), Si at (0.000, 0.000, 0.500) and Br at (0.000, 0.500, 0.500).

=====

Material: FeSb
Method: DFT, PBE-GGA
State: optimized geometry

The energy relative to the elements, uncorrected is 0.380 eV per atom. The calculation puts the raw total energy at -5.913 eV/atom.

The space group is P6_3/mmc (No. 194) and the conventional cell measures 3.2464, 3.2464 and 7.8472 Å, with angles of 90.00, 90.00 and 120.00 degrees. The inequivalent atoms are Fe at (0.3333, 0.6667, 0.2500) and Sb at (0.0000, 0.0000, 0.0000).

=====

Material: PmAlZnGe2
Method: DFT, PBE-GGA
State: optimized geometry

The energy of formation comes out at -0.309 eV/atom. The calculation puts the raw total energy at -4.109 eV/atom.

The space group is C2/m (No. 12) and the conventional cell measures 11.724, 4.151 and 8.790 Å, with angles of 90.00, 93.83 and 90.00 degrees. The inequivalent atoms are Pm at (0.192, 0.000, 0.296), Al at (0.029, 0.500, 0.743), Zn at (0.163, 0.000, 0.904), Ge at (0.100, 0.000, 0.612) and Ge at (0.115, 0.500, 0.049).

=====

Material: TcP2OsS
Method: DFT, PBE-GGA
State: optimized geometry

The energy relative to the elements, uncorrected is 1.349 eV per atom. The calculation puts the raw total energy at -5.960 eV/atom. The energy above the most stable polymorph in this dataset comes out at 189.9 meV/atom.

The space group is P4/mmm (No. 123) and the conventional cell measures 4.571, 4.571 and 4.433 Å, with angles of 90.00, 90.00 and 90.00 degrees. The inequivalent atoms are Tc at (0.000, 0.000, 0.000), P at (0.000, 0.500, 0.000), Os at (0.500, 0.500, 0.500) and S at (0.000, 0.000, 0.500).

=====

Material: Ba2YOsBr
Method: DFT, PBE-GGA
State: optimized geometry

The energy relative to the elements, uncorrected is 0.652 eV per atom. The calculation puts the raw total energy at -3.990 eV/atom.

The space group is P4/mmm (No. 123) and the conventional cell measures 6.456, 6.456 and 4.733 Å, with angles of 90.00, 90.00 and 90.00 degrees. The inequivalent atoms are Ba at (0.000, 0.500, 0.000), Y at (0.000, 0.000, 0.500), Os at (0.500, 0.500, 0.000) and Br at (0.500, 0.500, 0.500).

=====

Material: Sr2Bi2W
Method: DFT, PBE-GGA
State: optimized geometry

The energy of formation comes out at 0.566 eV/atom. The calculation puts the raw total energy at -4.250 eV/atom. The energy above the most stable polymorph in this dataset comes out at 425.0 meV/atom.

The space group is I4/mmm (No. 139) and the conventional cell measures 6.713, 6.713 and 8.786 Å, with angles of 90.00, 90.00 and 90.00 degrees. The inequivalent atoms are Sr at (0.000, 0.500, 0.250), Bi at (0.000, 0.000, 0.191) and W at (0.000, 0.000, 0.500).

=====

Material: Nb6SiC
Method: DFT, PBE-GGA
State: optimized geometry

The energy relative to the elements, uncorrected is -0.009 eV per atom. The calculation puts the raw total energy at -9.392 eV/atom.

The space group is P-1 (No. 2) and the conventional cell measures 5.547, 5.548 and 6.069 Å, with angles of 62.98, 62.93 and 60.01 degrees. The inequivalent atoms are Nb at (0.031, 0.427, 0.267), Nb at (0.225, 0.970, 0.733), Nb at (0.429, 0.774, 0.269), Si at (0.500, 0.500, 0.000) and C at (0.000, 0.000, 0.500).

=====

Material: Na3CoPt
Method: DFT, PBE-GGA
State: optimized geometry

The energy of formation comes out at 1.026 eV/atom. The calculation puts the raw total energy at -2.394 eV/atom.

The space group is Pm-3m (No. 221) and the conventional cell measures 5.195, 5.195 and 5.195 Å, with angles of 90.00, 90.00 and 90.00 degrees. The inequivalent atoms are Na at (0.000, 0.000, 0.500), Co at (0.000, 0.000, 0.000) and Pt at (0.500, 0.500, 0.500).

=====

Material: Li2IrRh
Method: DFT, PBE-GGA
State: optimized geometry

The energy of formation comes out at -0.024 eV/atom. The calculation puts the raw total energy at -5.034 eV/atom. The energy above the most stable polymorph in this dataset comes out at 192.8 meV/atom.

The space group is Cmmm (No. 65) and the conventional cell measures 5.201, 8.298 and 2.555 Å, with angles of 90.00, 90.00 and 90.00 degrees. The inequivalent atoms are Li at (0.250, 0.250, 0.000), Ir at (0.000, 0.000, 0.500) and Rh at (0.000, 0.500, 0.500).

=====

Material: KCoAu2
Method: DFT, PBE-GGA
State: optimized geometry

The energy of formation comes out at 0.415 eV/atom. The calculation puts the raw total energy at -3.275 eV/atom. The energy above the most stable polymorph in this dataset comes out at 223.2 meV/atom.

The space group is P4mm (No. 99) and the conventional cell measures 3.020, 3.020 and 8.950 Å, with angles of 90.00, 90.00 and 90.00 degrees. The inequivalent atoms are K at (0.000, 0.000, 0.000), Co at (0.500, 0.500, 0.700), Au at (0.000, 0.000, 0.528) and Au at (0.500, 0.500, 0.296).

=====

Material: MgSi
Method: DFT, PBE-GGA
State: optimized geometry

The energy relative to the elements, uncorrected is 0.575 eV per atom. The calculation puts the raw total energy at -2.933 eV/atom.

The space group is I-43m (No. 217) and the conventional cell measures 8.111, 8.111 and 8.111 Å, with angles of 90.00, 90.00 and 90.00 degrees. The inequivalent atoms are Mg at (0.203, 0.203, 0.203) and Si at (0.110, 0.110, 0.890).

=====

Material: NbCo2H
Method: DFT, PBE-GGA
State: optimized geometry

The calculation puts the raw total energy at -6.875 eV/atom. The energy above the most stable polymorph in this dataset comes out at 61.8 meV/atom.

The space group is I-42d (No. 122) and the conventional cell measures 4.957, 4.957 and 6.937 Å, with angles of 90.00, 90.00 and 90.00 degrees. The inequivalent atoms are Nb at (0.000, 0.000, 0.000), Co at (0.072, 0.250, 0.625) and H at (0.000, 0.000, 0.500).

=====

Material: GdErMg2
Method: DFT, PBE-GGA
State: optimized geometry

The energy of formation comes out at -0.086 eV/atom. The calculation puts the raw total energy at -5.545 eV/atom. The energy above the most stable polymorph in this dataset comes out at 4.6 meV/atom.

The space group is Fm-3m (No. 225) and the conventional cell measures 7.591, 7.591 and 7.591 Å, with angles of 90.00, 90.00 and 90.00 degrees. The inequivalent atoms are Gd at (0.000, 0.000, 0.000), Er at (0.000, 0.000, 0.500) and Mg at (0.250, 0.250, 0.250).

=====

Material: VCo3Ge
Method: DFT, PBE-GGA
State: optimized geometry

The energy of formation comes out at 0.036 eV/atom. The calculation puts the raw total energy at -6.975 eV/atom. The energy above the most stable polymorph in this dataset comes out at 0.0 meV/atom.

The space group is Pnma (No. 62) and the conventional cell measures 6.071, 6.552 and 6.140 Å, with angles of 90.00, 90.00 and 90.00 degrees. The inequivalent atoms are V at (0.000, 0.000, 0.000), Co at (0.138, 0.250, 0.284), Co at (0.142, 0.053, 0.648) and Ge at (0.172, 0.750, 0.425).

=====

Material: MnHg2Te
Method: DFT, PBE-GGA
State: optimized geometry

The energy relative to the elements, uncorrected is 0.302 eV per atom. The calculation puts the raw total energy at -2.927 eV/atom.

The space group is P4/mmm (No. 123) and the conventional cell measures 3.202, 3.202 and 9.348 Å, with angles of 90.00, 90.00 and 90.00 degrees. The inequivalent atoms are Mn at (0.000, 0.000, 0.000), Hg at (0.500, 0.500, 0.198) and Te at (0.000, 0.000, 0.500).